(1)
Compound: LaAlMo2
Source: Alexandria
Functional: PBE
Structure: optimized geometry

Cell lengths 4.399, 4.399, 6.070 Å; angles 111.32, 111.32, 60.02 degrees
Fractional coordinates of all 4 atoms:
La  0.000  0.000  0.000
Al  0.201  0.201  0.603
Mo  0.487  0.487  0.463
Mo  0.797  0.797  0.393

Summary:
- Calculated total energy: -7.461 eV per atom
- DOS at the Fermi energy: 3.2 states/eV per cell
- Calculated formation energy: 0.12 eV per atom
- Total magnetization: 0.00 μB per cell

***

(2)
Compound: CsHg2Pt
Source: Alexandria
Functional: PBE
Structure: optimized geometry

Cell lengths 7.024, 7.024, 10.060 Å; angles 90.93, 90.93, 135.97 degrees
Fractional coordinates of all 8 atoms:
Cs  0.169  0.831  0.750
Cs  0.831  0.169  0.250
Hg  0.106  0.894  0.250
Hg  0.500  0.500  0.000
Hg  0.500  0.500  0.500
Hg  0.894  0.106  0.750
Pt  0.432  0.568  0.750
Pt  0.568  0.432  0.250

Summary:
- Energy above the lowest structure with this stoichiometry: 0.01 eV/f.u.
- Calculated total energy: -2.032 eV per atom
- DOS at the Fermi energy: 3.5 states/eV per cell
- Calculated formation energy: -0.16 eV per atom
- Total magnetization: 0.00 μB per cell

***

(3)
Compound: Hg2PSe
Source: Alexandria
Functional: PBE
Structure: optimized geometry

Cell lengths 3.275, 3.275, 10.015 Å; angles 90.00, 90.00, 90.00 degrees
Fractional coordinates of all 4 atoms:
Hg  0.000  0.000  0.000
Hg  0.500  0.500  0.285
P  0.000  0.000  0.574
Se  0.500  0.500  0.673

Summary:
- Calculated total energy: -2.188 eV per atom
- DOS at the Fermi energy: 0.4 states/eV per cell
- Raw formation energy: 0.1870 eV per atom
- Total magnetization: 0.00 μB per cell

***

(4)
Compound: HfRhSe2Br
Source: Alexandria
Functional: PBE
Structure: optimized geometry

Cell lengths 4.890, 4.890, 4.795 Å; angles 90.00, 90.00, 90.00 degrees
Fractional coordinates of all 5 atoms:
Hf  0.000  0.000  0.000
Rh  0.500  0.500  0.500
Se  0.000  0.500  0.500
Se  0.500  0.000  0.500
Br  0.500  0.500  0.000

Summary:
- Energy above the lowest structure with this stoichiometry: 0.88 eV/f.u.
- Calculated total energy: -4.933 eV per atom
- DOS at the Fermi energy: 3.7 states/eV per cell
- Raw formation energy: 0.2562 eV per atom
- Total magnetization: 0.33 μB per cell

***

(5)
Compound: NaLaAg
Source: Alexandria
Functional: PBE
Structure: optimized geometry

Cell lengths 3.900, 3.900, 11.352 Å; angles 90.00, 90.00, 90.00 degrees
Fractional coordinates of all 6 atoms:
Na  0.250  0.250  0.086
Na  0.750  0.750  0.914
La  0.250  0.250  0.389
La  0.750  0.750  0.611
Ag  0.250  0.250  0.762
Ag  0.750  0.750  0.238

Summary:
- Energy above the lowest structure with this stoichiometry: 0.00 eV/f.u.
- Calculated total energy: -3.106 eV per atom
- DOS at the Fermi energy: 4.8 states/eV per cell
- Calculated formation energy: -0.07 eV per atom
- Total magnetization: 0.52 μB per cell

***

(6)
Compound: La2DySi
Source: Alexandria
Functional: PBE
Structure: optimized geometry

Cell lengths 4.717, 4.717, 4.907 Å; angles 90.00, 90.00, 90.00 degrees
Fractional coordinates of all 4 atoms:
La  0.000  0.500  0.000
La  0.500  0.000  0.000
Dy  0.000  0.000  0.500
Si  0.500  0.500  0.500

Summary:
- Calculated total energy: -5.236 eV per atom
- DOS at the Fermi energy: 4.6 states/eV per cell
- Raw formation energy: -0.2656 eV per atom
- Total magnetization: 0.00 μB per cell

***

(7)
Compound: Tb2Mg15Cd2
Source: Alexandria
Functional: PBE
Structure: optimized geometry

Cell lengths 7.739, 7.739, 7.739 Å; angles 82.02, 82.02, 82.02 degrees
Fractional coordinates of all 19 atoms:
Tb  0.175  0.175  0.175
Tb  0.825  0.825  0.825
Mg  0.000  0.500  0.500
Mg  0.147  0.147  0.660
Mg  0.147  0.660  0.147
Mg  0.196  0.500  0.804
Mg  0.196  0.804  0.500
Mg  0.340  0.853  0.853
Mg  0.500  0.000  0.500
Mg  0.500  0.196  0.804
Mg  0.500  0.500  0.000
Mg  0.500  0.804  0.196
Mg  0.660  0.147  0.147
Mg  0.804  0.196  0.500
Mg  0.804  0.500  0.196
Mg  0.853  0.340  0.853
Mg  0.853  0.853  0.340
Cd  0.400  0.400  0.400
Cd  0.600  0.600  0.600

Summary:
- Calculated total energy: -1.890 eV per atom
- DOS at the Fermi energy: 7.7 states/eV per cell
- Calculated formation energy: -0.05 eV per atom
- Total magnetization: 0.00 μB per cell

***

(8)
Compound: CdSnTe
Source: Alexandria
Functional: PBE
Structure: optimized geometry

Cell lengths 4.422, 4.422, 23.625 Å; angles 90.00, 90.00, 120.00 degrees
Fractional coordinates of all 12 atoms:
Cd  0.333  0.667  0.317
Cd  0.333  0.667  0.466
Cd  0.667  0.333  0.534
Cd  0.667  0.333  0.683
Sn  0.333  0.667  0.139
Sn  0.333  0.667  0.600
Sn  0.667  0.333  0.400
Sn  0.667  0.333  0.861
Te  0.333  0.667  0.740
Te  0.333  0.667  0.929
Te  0.667  0.333  0.071
Te  0.667  0.333  0.260

Summary:
- Calculated total energy: -2.737 eV per atom
- DOS at the Fermi energy: 4.7 states/eV per cell
- Raw formation energy: -0.0503 eV per atom
- Total magnetization: 0.00 μB per cell

***

(9)
Compound: Ni2Ir7Rh2
Source: Alexandria
Functional: PBE
Structure: optimized geometry

Cell lengths 6.059, 6.059, 4.630 Å; angles 97.07, 97.07, 79.08 degrees
Fractional coordinates of all 11 atoms:
Ni  0.241  0.241  0.254
Ni  0.759  0.759  0.746
Ir  0.000  0.000  0.500
Ir  0.058  0.410  0.745
Ir  0.410  0.058  0.745
Ir  0.462  0.462  0.731
Ir  0.538  0.538  0.269
Ir  0.590  0.942  0.255
Ir  0.942  0.590  0.255
Rh  0.181  0.819  0.000
Rh  0.819  0.181  0.000

Summary:
- Energy above the lowest structure with this stoichiometry: 1.00 eV/f.u.
- Calculated total energy: -7.715 eV per atom
- DOS at the Fermi energy: 13.9 states/eV per cell
- Calculated formation energy: 0.31 eV per atom
- Total magnetization: 0.00 μB per cell

***

(10)
Compound: Mg8TlGa2
Source: Alexandria
Functional: PBE
Structure: optimized geometry

Cell lengths 7.498, 7.498, 5.149 Å; angles 101.30, 101.30, 113.05 degrees
Fractional coordinates of all 11 atoms:
Mg  0.081  0.326  0.594
Mg  0.235  0.765  0.000
Mg  0.326  0.081  0.594
Mg  0.390  0.390  0.186
Mg  0.610  0.610  0.814
Mg  0.674  0.919  0.406
Mg  0.765  0.235  0.000
Mg  0.919  0.674  0.406
Tl  0.000  0.000  0.000
Ga  0.310  0.690  0.500
Ga  0.690  0.310  0.500

Summary:
- Energy above the lowest structure with this stoichiometry: 0.13 eV/f.u.
- Calculated total energy: -1.970 eV per atom
- DOS at the Fermi energy: 3.5 states/eV per cell
- Calculated formation energy: -0.04 eV per atom
- Total magnetization: 0.00 μB per cell